(1)
The following is a DFT calculation (PBE-GGA) of crystalline Cs2NpCu2O6 at its relaxed geometry.

Output
**Final energy**: -0.2387 hartree per atom
**Uncorrected formation energy**: -165.4 kJ/mol of atoms

a b c (Å): 6.0915 6.0915 7.2601
angles (deg): 65.20 65.20 60.00
Site moments in Bohr magnetons follow the coordinates.
Positions (direct):
O (0.7797, 0.7797, 0.1937)  0.07
O (0.2203, 0.7532, 0.8063)  0.07
O (0.7797, 0.2468, 0.1937)  0.07
O (0.2468, 0.7797, 0.1937)  0.07
O (0.2203, 0.2203, 0.8063)  0.07
O (0.7532, 0.2203, 0.8063)  0.07
Cu (0.3980, 0.3980, 0.8060)  0.24
Cu (0.6020, 0.6020, 0.1940)  0.24
Np (0.0000, 0.0000, 0.0000)  -0.16
Cs (0.7858, 0.7858, 0.6427)  0.00
Cs (0.2142, 0.2142, 0.3573)  0.00

(2)
The following is a DFT calculation (PBE-GGA) of crystalline Cs2NpCuO6 at its relaxed geometry.

Output
**Final energy**: -0.2422 hartree per atom
**Uncorrected formation energy**: -167.9 kJ/mol of atoms

a b c (Å): 5.4466 6.5817 6.5817
angles (deg): 120.00 90.00 90.00
Site moments in Bohr magnetons follow the coordinates.
Positions (direct):
Cu (0.0000, 0.0000, 0.0000)  0.74
O (0.7467, 0.7322, 0.8661)  0.18
O (0.7467, 0.1339, 0.2678)  0.18
O (0.2533, 0.8661, 0.7322)  0.18
O (0.2533, 0.2678, 0.1339)  0.18
O (0.2533, 0.8661, 0.1339)  0.18
O (0.7467, 0.1339, 0.8661)  0.18
Np (0.5000, 0.0000, 0.0000)  -0.07
Cs (0.1806, 0.3333, 0.6667)  0.00
Cs (0.8194, 0.6667, 0.3333)  0.00